(P)
Here is a relaxed LiMg3Br crystal from Alexandria. Energies are from GGA-PBE.

Properties
Its size of the total moment is 0.00 μB/f.u.

Cell lengths 5.2105, 5.2105, 5.2105 Å; angles 90.00, 90.00, 90.00 degrees
Last column: nearest neighbours and their distance in Å.
Space group Pm-3m (No. 221)
Inequivalent atoms, fractional coordinates:
1 Li 0.0000 0.0000 0.0000 x1  6 Mg 2.61
2 Mg 0.0000 0.0000 0.5000 x3  2 Li 2.61
3 Br 0.5000 0.5000 0.5000 x1  12 Mg 3.68

(Q)
Here is a relaxed LiMg3Br crystal from Alexandria. Energies are from GGA-PBE.

Properties
Its size of the total moment is 0.00 μB/f.u.

Cell lengths 5.4189, 5.4189, 5.4189 Å; angles 90.00, 90.00, 90.00 degrees
Last column: nearest neighbours and their distance in Å.
Space group Pm-3m (No. 221)
Inequivalent atoms, fractional coordinates:
1 Li 0.0000 0.0000 0.0000 x1  12 Mg 3.83
2 Mg 0.0000 0.5000 0.5000 x3  2 Br 2.71
3 Br 0.5000 0.5000 0.5000 x1  6 Mg 2.71

The winner here is (P), beating the second structure by 181 meV per atom.

(P)
Here is a relaxed LiMnBr4 crystal from Alexandria. Energies are from GGA-PBE.

Properties
Its size of the total moment is 7.91 μB/f.u.

Cell lengths 9.1859, 9.1859, 9.1859 Å; angles 90.00, 90.00, 90.00 degrees
Last column: nearest neighbours and their distance in Å.
Space group F-43m (No. 216)
Inequivalent atoms, fractional coordinates:
1 Li 0.0000 0.0000 0.0000 x4  12 Br 3.81, 4 Mn 3.98
2 Mn 0.2500 0.2500 0.7500 x4  12 Br 3.81, 4 Li 3.98
3 Br 0.1250 0.1250 0.3750 x16  6 Br 3.25

(Q)
Here is a relaxed LiMnBr4 crystal from Alexandria. Energies are from GGA-PBE.

Properties
Its size of the total moment is 4.00 μB/f.u.

Cell lengths 6.5372, 3.8435, 6.9039 Å; angles 90.00, 91.97, 90.00 degrees
Last column: nearest neighbours and their distance in Å.
Space group P2/m (No. 10)
Inequivalent atoms, fractional coordinates:
1 Li 0.0000 0.0000 0.0000 x1  6 Br 2.66-2.73
2 Mn 0.5000 0.5000 0.0000 x1  6 Br 2.44-2.65
3 Br 0.2057 0.5000 0.2078 x2  1 Mn 2.44, 2 Li 2.73
4 Br 0.3299 0.0000 0.7842 x2  2 Mn 2.65, 1 Li 2.66

The winner here is (Q), beating the second structure by 1315 meV per atom.

(P)
Here is a relaxed Li2MnBr crystal from Alexandria. Energies are from GGA-PBE.

Properties
Its size of the total moment is 4.13 μB/f.u.

Cell lengths 3.4367, 3.4220, 6.1931 Å; angles 90.00, 90.49, 90.00 degrees
Last column: nearest neighbours and their distance in Å.
Space group P2/m (No. 10)
Inequivalent atoms, fractional coordinates:
1 Li 0.0053 0.0000 0.2498 x2  4 Br 2.86-2.90, 4 Mn 2.87-2.88, 2 Li 3.09-3.10
2 Mn 0.5000 0.5000 0.0000 x1  8 Li 2.87-2.88, 2 Br 3.10
3 Br 0.5000 0.5000 0.5000 x1  8 Li 2.86-2.90, 2 Mn 3.10

(Q)
Here is a relaxed Li2MnBr crystal from Alexandria. Energies are from GGA-PBE.

Properties
Its size of the total moment is 4.19 μB/f.u.

Cell lengths 6.9279, 6.9279, 6.9279 Å; angles 90.00, 90.00, 90.00 degrees
Last column: nearest neighbours and their distance in Å.
Space group Fm-3m (No. 225)
Inequivalent atoms, fractional coordinates:
1 Li 0.2500 0.2500 0.2500 x8  4 Mn 3.00, 4 Br 3.00
2 Mn 0.0000 0.0000 0.0000 x4  8 Li 3.00
3 Br 0.0000 0.0000 0.5000 x4  8 Li 3.00

The winner here is (P), beating the second structure by 333 meV per atom.

(P)
Here is a relaxed Li2MnBr crystal from Alexandria. Energies are from GGA-PBE.

Properties
Its size of the total moment is 4.13 μB/f.u.

Cell lengths 6.4651, 6.4805, 3.4851 Å; angles 90.00, 90.00, 90.00 degrees
Last column: nearest neighbours and their distance in Å.
Space group Cmmm (No. 65)
Inequivalent atoms, fractional coordinates:
1 Li 0.2500 0.2500 0.0000 x4  4 Mn 2.88, 4 Br 2.88
2 Mn 0.0000 0.0000 0.5000 x2  8 Li 2.88
3 Br 0.0000 0.5000 0.5000 x2  8 Li 2.88

(Q)
Here is a relaxed Li2MnBr crystal from Alexandria. Energies are from GGA-PBE.

Properties
Its size of the total moment is 3.90 μB/f.u.

Cell lengths 6.8025, 6.8025, 6.8025 Å; angles 90.00, 90.00, 90.00 degrees
Last column: nearest neighbours and their distance in Å.
Space group F-43m (No. 216)
Inequivalent atoms, fractional coordinates:
1 Li 0.0000 0.0000 0.0000 x4  4 Li 2.95, 4 Mn 2.95
2 Li 0.2500 0.2500 0.2500 x4  4 Br 2.95, 4 Li 2.95
3 Mn 0.2500 0.2500 0.7500 x4  4 Li 2.95, 4 Br 2.95
4 Br 0.0000 0.0000 0.5000 x4  4 Mn 2.95, 4 Li 2.95

The winner here is (P), beating the second structure by 264 meV per atom.

(P)
Here is a relaxed Li2MnBr crystal from Alexandria. Energies are from GGA-PBE.

Properties
Its size of the total moment is 4.14 μB/f.u.

Cell lengths 4.0524, 4.0524, 9.5953 Å; angles 90.00, 90.00, 90.00 degrees
Last column: nearest neighbours and their distance in Å.
Space group I4/mmm (No. 139)
Inequivalent atoms, fractional coordinates:
1 Li 0.0000 0.5000 0.2500 x4  4 Li 2.87, 4 Br 3.14, 4 Mn 3.14
2 Mn 0.0000 0.0000 0.0000 x2  4 Br 2.87, 8 Li 3.14
3 Br 0.0000 0.0000 0.5000 x2  4 Mn 2.87, 8 Li 3.14

(Q)
Here is a relaxed Li2MnBr crystal from Alexandria. Energies are from GGA-PBE.

Properties
Its size of the total moment is 4.01 μB/f.u.

Cell lengths 7.3675, 7.3675, 6.4866 Å; angles 90.00, 90.00, 90.00 degrees
Last column: nearest neighbours and their distance in Å.
Space group I-42d (No. 122)
Inequivalent atoms, fractional coordinates:
1 Li 0.2045 0.2500 0.1250 x8  2 Br 2.51
2 Mn 0.0000 0.0000 0.5000 x4  4 Li 2.96, 2 Br 3.24
3 Br 0.0000 0.0000 0.0000 x4  4 Li 2.51

The winner here is (Q), beating the second structure by 163 meV per atom.

(P)
Here is a relaxed LiMnBr crystal from Alexandria. Energies are from GGA-PBE.

Properties
Its size of the total moment is 4.11 μB/f.u.

Cell lengths 6.3979, 6.3979, 6.3979 Å; angles 90.00, 90.00, 90.00 degrees
Last column: nearest neighbours and their distance in Å.
Space group F-43m (No. 216)
Inequivalent atoms, fractional coordinates:
1 Li 0.0000 0.0000 0.0000 x4  4 Br 2.77
2 Mn 0.0000 0.0000 0.5000 x4  4 Br 2.77
3 Br 0.2500 0.2500 0.2500 x4  4 Mn 2.77, 4 Li 2.77

(Q)
Here is a relaxed LiMnBr crystal from Alexandria. Energies are from GGA-PBE.

Properties
Its size of the total moment is 3.43 μB/f.u.

Cell lengths 4.3877, 4.3877, 3.5246 Å; angles 90.00, 90.00, 120.00 degrees
Last column: nearest neighbours and their distance in Å.
Space group P3m1 (No. 156)
Inequivalent atoms, fractional coordinates:
1 Li 0.0000 0.0000 0.0000 x1  6 Br 3.08-3.09, 6 Mn 3.09
2 Mn 0.6667 0.3333 0.5002 x1  3 Br 2.53
3 Br 0.3333 0.6667 0.5018 x1  3 Mn 2.53

The winner here is (Q), beating the second structure by 143 meV per atom.

(P)
Here is a relaxed Li2MnBr4 crystal from Alexandria. Energies are from GGA-PBE.

Properties
Its size of the total moment is 5.00 μB/f.u.

Cell lengths 5.5108, 5.5108, 11.0576 Å; angles 90.00, 90.00, 90.00 degrees
Last column: nearest neighbours and their distance in Å.
Space group I4/mmm (No. 139)
Inequivalent atoms, fractional coordinates:
1 Li 0.0000 0.5000 0.2500 x4  6 Br 2.76
2 Mn 0.0000 0.0000 0.0000 x2  6 Br 2.61-2.76
3 Br 0.0000 0.0000 0.2365 x4  1 Mn 2.61, 4 Li 2.76
4 Br 0.0000 0.5000 0.0000 x4  2 Mn 2.76, 2 Li 2.76

(Q)
Here is a relaxed Li2MnBr4 crystal from Alexandria. Energies are from GGA-PBE.

Properties
Its size of the total moment is 5.00 μB/f.u.

Cell lengths 6.0417, 6.0417, 11.4481 Å; angles 90.00, 90.00, 90.00 degrees
Last column: nearest neighbours and their distance in Å.
Space group I-42m (No. 121)
Inequivalent atoms, fractional coordinates:
1 Li 0.0000 0.5000 0.2500 x4  4 Br 2.57
2 Mn 0.0000 0.0000 0.0000 x2  4 Br 2.51
3 Br 0.2410 0.2410 0.1257 x8  1 Mn 2.51, 2 Li 2.57

The winner here is (Q), beating the second structure by 38 meV per atom.

(P)
Here is a relaxed Li2MnBr4 crystal from Alexandria. Energies are from GGA-PBE.

Properties
Its size of the total moment is 5.00 μB/f.u.

Cell lengths 7.8633, 11.1485, 3.8871 Å; angles 90.00, 90.00, 90.00 degrees
Last column: nearest neighbours and their distance in Å.
Space group Cmmm (No. 65)
Inequivalent atoms, fractional coordinates:
1 Li 0.2500 0.2500 0.0000 x4  6 Br 2.77-2.79
2 Mn 0.0000 0.0000 0.5000 x2  6 Br 2.70
3 Br 0.0000 0.2419 0.5000 x4  1 Mn 2.70, 4 Li 2.77
4 Br 0.2380 0.0000 0.0000 x4  2 Mn 2.70, 2 Li 2.79

(Q)
Here is a relaxed Li2MnBr4 crystal from Alexandria. Energies are from GGA-PBE.

Properties
Its size of the total moment is 5.00 μB/f.u.

Cell lengths 7.8397, 7.8397, 11.0965 Å; angles 90.00, 90.00, 90.00 degrees
Last column: nearest neighbours and their distance in Å.
Space group P4_122 (No. 91)
Inequivalent atoms, fractional coordinates:
1 Li 0.0000 0.2498 0.0000 x4  6 Br 2.69-2.82
2 Li 0.0000 0.2502 0.5000 x4  6 Br 2.70-2.86
3 Mn 0.2475 0.5000 0.2500 x4  6 Br 2.64-2.76
4 Br 0.0113 0.2474 0.2420 x8  4 Li 2.69-2.86, 1 Mn 2.71
5 Br 0.2491 0.4932 0.4877 x8  2 Mn 2.64-2.76, 2 Li 2.73-2.81

(R)
Here is a relaxed Li2MnBr4 crystal from Alexandria. Energies are from GGA-PBE.

Properties
Its size of the total moment is 5.00 μB/f.u.

Cell lengths 5.3780, 5.3780, 13.5583 Å; angles 90.00, 90.00, 90.00 degrees
Last column: nearest neighbours and their distance in Å.
Space group I4/mmm (No. 139)
Inequivalent atoms, fractional coordinates:
1 Li 0.0000 0.0000 0.1304 x4  1 Br 2.43
2 Mn 0.0000 0.0000 0.5000 x2  6 Br 2.58-2.69
3 Br 0.0000 0.0000 0.3094 x4  1 Li 2.43, 1 Mn 2.58
4 Br 0.0000 0.5000 0.0000 x4  2 Mn 2.69

(S)
Here is a relaxed Li2MnBr4 crystal from Alexandria. Energies are from GGA-PBE.

Properties
Its size of the total moment is 5.00 μB/f.u.

Cell lengths 7.9206, 7.9881, 10.5815 Å; angles 90.00, 90.00, 90.00 degrees
Last column: nearest neighbours and their distance in Å.
Space group Imma (No. 74)
Inequivalent atoms, fractional coordinates:
1 Li 0.0000 0.0000 0.0000 x4  6 Br 2.70-2.85
2 Li 0.2500 0.2500 0.2500 x4  6 Br 2.71-2.73
3 Mn 0.0000 0.0000 0.5000 x4  6 Br 2.60-2.78
4 Br 0.0000 0.0156 0.2549 x8  1 Mn 2.60, 3 Li 2.70-2.73
5 Br 0.2438 0.2500 0.5059 x8  3 Li 2.71-2.85, 2 Mn 2.78

The winner here is (P), beating the second structure by 16 meV per atom.